1.
{"formula": "BaZr2Rh", "functional": "meta-GGA SCAN", "state": "single point on PBEsol structure", "lattice_angstrom": [[-3.7444, -0.0372, -1.9653], [-2.0257, -3.6599, -0.6213], [-5.2498, -0.4647, 5.4608]], "species": ["Ba", "Rh", "Zr", "Zr"], "fractional_positions": [[0.5000, 0.5000, 0.5000], [0.0000, 0.0000, 0.0000], [0.2877, 0.2877, 0.1370], [0.7123, 0.7123, 0.8630]]}


2.
{"formula": "CrGa2", "functional": "meta-GGA SCAN", "state": "single point on PBEsol structure", "lattice_angstrom": [[-0.8917, -0.9260, -2.2115], [-0.1033, -3.9501, 1.6956], [-4.0288, 0.6804, 1.3396]], "species": ["Cr", "Ga", "Ga"], "fractional_positions": [[0.0000, 0.5000, 0.5000], [0.5000, 0.5000, 0.0000], [0.5000, 0.0000, 0.5000]]}


Number 1: DFT formation energy -2.25 kcal/mol of atoms. Number 2: DFT formation energy -2.74 kcal/mol of atoms.